An optimized crystal structure of AlZnGa. Source: Alexandria via LeMat-Bulk, functional GGA-PBE.

**Formation energy**: 45 meV per atom
**VASP energy**: -7.9 eV per formula unit

Unit cell a=4.9735 b=4.9735 c=4.9953 alpha=99.86 beta=99.86 gamma=120.34
Sites, in units of the cell vectors:
1 Al 0.0000 0.0000 0.0000
2 Al 0.6647 0.3353 0.0000
3 Zn 0.1671 0.8329 0.5000
4 Zn 0.3264 0.6736 0.0000
5 Ga 0.4999 0.5001 0.5000
6 Ga 0.8340 0.1660 0.5000